# CaHoGaPt

A relaxed CaHoGaPt crystal (PBE, the Alexandria database).

Computed properties:
energy relative to the elements	-769	meV/atom
distance to the lowest polymorph of the same formula	0.24	eV/f.u.
total moment	0.00	μB per formula unit
N(E_F)	5.826	states/eV/cell
DFT total energy	-74.90	eV per cell
volume	22.05	Å³/atom
space group	F-43m, No. 216

Cell: 7.066 7.066 7.066 Å, 90.00 90.00 90.00°
Sites, in units of the cell vectors:
Ca (0.000, 0.000, 0.000)
Ca (0.000, 0.500, 0.500)
Ca (0.500, 0.000, 0.500)
Ca (0.500, 0.500, 0.000)
Ho (0.000, 0.000, 0.500)
Ho (0.000, 0.500, 0.000)
Ho (0.500, 0.000, 0.000)
Ho (0.500, 0.500, 0.500)
Ga (0.250, 0.250, 0.250)
Ga (0.250, 0.750, 0.750)
Ga (0.750, 0.250, 0.750)
Ga (0.750, 0.750, 0.250)
Pt (0.250, 0.250, 0.750)
Pt (0.250, 0.750, 0.250)
Pt (0.750, 0.250, 0.250)
Pt (0.750, 0.750, 0.750)